A plane-wave DFT calculation with PBE+U was carried out for an optimized crystal structure of K4Ho3MnO8.

abc: 6.6904 7.3280 6.8659
angles: 117.21 119.16 90.00
Site moments in Bohr magnetons follow the coordinates.
Fractional coordinates of all 16 atoms:
K1 0.5000 0.0000 0.0000  0.00
K2 0.5000 0.0000 0.5000  0.00
K3 0.0000 0.0000 0.0000  0.00
K4 0.0000 0.0000 0.5000  0.00
Ho1 0.5000 0.5000 0.0000  0.01
Ho2 0.5000 0.5000 0.5000  0.00
Ho3 0.0000 0.5000 0.5000  0.00
Mn1 0.0000 0.5000 0.0000  3.96
O1 0.2039 0.6704 0.9578  -0.04
O2 0.2512 0.7065 0.5025  0.03
O3 0.2767 0.3149 0.5534  0.00
O4 0.7540 0.6704 0.9578  -0.04
O5 0.2460 0.3296 0.0422  -0.04
O6 0.7233 0.6851 0.4466  0.00
O7 0.7488 0.2935 0.4975  0.03
O8 0.7961 0.3296 0.0422  -0.04

Summary:
symmetry: C2/m (12)
raw total energy: -104.234 eV for the cell shown
crystal system: monoclinic
magnetic moment: 4.0 μB per cell